First-principles (PBE) data for an optimized crystal structure of AcHo12Er7, as listed in Alexandria via LeMat-Bulk.

a b c (Å): 9.7901 9.7901 9.7901
angles (deg): 109.47 109.47 109.47
Closest atoms and distances in Å follow each position.
Atoms (fractional coordinates):
Ho 0.9998 0.7333 0.2664  2 Er 2.84
Ho 0.2667 0.2664 0.5331  2 Er 2.84
Ho 0.0002 0.2667 0.7336  2 Er 2.84
Ho 0.5331 0.2667 0.2664  2 Er 2.84
Ho 0.2664 0.9998 0.7333  2 Er 2.84
Ho 0.7336 0.0002 0.2667  2 Er 2.84
Ho 0.7336 0.4669 0.7333  2 Er 2.84
Ho 0.7333 0.2664 0.9998  2 Er 2.84
Ho 0.2667 0.7336 0.0002  2 Er 2.84
Ho 0.4669 0.7333 0.7336  2 Er 2.84
Ho 0.7333 0.7336 0.4669  2 Er 2.84
Ho 0.2664 0.5331 0.2667  2 Er 2.84
Er 0.5000 0.0000 0.0000  6 Ho 2.84
Er 0.5000 0.0000 0.5000  12 Ho 3.73-4.01
Er 0.0000 0.5000 0.0000  6 Ho 2.84
Er 0.5000 0.5000 0.0000  12 Ho 3.73-4.01
Er 0.0000 0.0000 0.5000  6 Ho 2.84
Er 0.0000 0.5000 0.5000  12 Ho 3.73-4.01
Er 0.5000 0.5000 0.5000  6 Ho 2.84
Ac 0.0000 0.0000 0.0000  12 Ho 4.26

Output
Energy above the most stable polymorph in this dataset = 453 meV per atom
Energy of formation = 0.695 eV/atom
Final energy = -3.8545 eV/atom
M_tot = 0.00 μB per atom
Density of states at the Fermi level = 25.731 states/eV per cell

First-principles (PBE) data for an optimized crystal structure of PmDySi2Pd5, as listed in Alexandria via LeMat-Bulk.

a b c (Å): 4.2075 4.2075 9.0201
angles (deg): 90.00 90.00 90.00
Closest atoms and distances in Å follow each position.
Atoms (fractional coordinates):
Pm 0.0000 0.0000 0.5000  12 Pd 2.98-2.99
Pd 0.0000 0.5000 0.2642  2 Si 2.43
Pd 0.5000 0.0000 0.2642  2 Si 2.43
Pd 0.0000 0.5000 0.7358  2 Si 2.43
Pd 0.5000 0.5000 0.5000  4 Pm 2.98, 8 Pd 2.99
Pd 0.5000 0.0000 0.7358  2 Si 2.43
Dy 0.0000 0.0000 0.0000  8 Pd 3.18, 8 Si 3.20
Si 0.5000 0.5000 0.8697  1 Si 2.35, 4 Pd 2.43
Si 0.5000 0.5000 0.1303  1 Si 2.35, 4 Pd 2.43

Output
Uncorrected formation energy = -907 meV/atom
Final energy = -6.0360 eV/atom
M_tot = 0.00 μB per atom
Density of states at the Fermi level = 2.972 states/eV per cell

First-principles (PBE) data for an optimized crystal structure of Pm5Hg2Pb5, as listed in Alexandria via LeMat-Bulk.

a b c (Å): 4.7602 8.7919 9.3419
angles (deg): 76.76 75.24 74.29
Closest atoms and distances in Å follow each position.
Atoms (fractional coordinates):
Pb 0.0744 0.2135 0.6377  1 Hg 3.06, 3 Pm 3.30-3.33
Pb 0.0000 0.0000 0.0000  4 Pb 3.18-3.46, 4 Pm 3.45
Pb 0.9256 0.7865 0.3623  1 Hg 3.06, 3 Pm 3.30-3.33
Pb 0.2331 0.6918 0.8421  2 Hg 2.98, 1 Pb 3.18, 3 Pm 3.30
Pb 0.7669 0.3082 0.1579  2 Hg 2.98, 1 Pb 3.18, 3 Pm 3.30
Hg 0.8668 0.5513 0.7152  3 Pb 2.98-3.06, 3 Pm 3.15-3.25
Hg 0.1332 0.4487 0.2848  3 Pb 2.98-3.06, 3 Pm 3.15-3.25
Pm 0.6910 0.9402 0.6777  1 Hg 3.25, 5 Pb 3.30-3.35
Pm 0.3983 0.2963 0.9071  7 Pb 3.30-3.56, 2 Hg 3.47
Pm 0.5000 0.5000 0.5000  4 Hg 3.15, 4 Pb 3.47
Pm 0.3090 0.0598 0.3223  1 Hg 3.25, 5 Pb 3.30-3.35
Pm 0.6017 0.7037 0.0929  7 Pb 3.30-3.56, 2 Hg 3.47

Output
Energy of formation = -0.454 eV/atom
Final energy = -4.0289 eV/atom
M_tot = 0.00 μB per atom
Density of states at the Fermi level = 5.573 states/eV per cell